A relaxed KRb2Ba crystal, computed with PBE-GGA.

The structure belongs to space group Fm-3m (No. 225); the cell edges are 10.812, 10.812 and 10.812 Å and the angles 90.00°, 90.00° and 90.00°. The distinct sites, in fractional coordinates, are K at (0.000, 0.000, 0.000), Rb at (0.250, 0.250, 0.250) and Ba at (0.000, 0.000, 0.500).

The energy of formation is 146 meV per atom. The value obtained for the relative energy among the computed polymorphs is 82 meV/atom.



A relaxed AcLa6In2 crystal, computed with PBE-GGA.

The structure belongs to space group C2/m (No. 12); the cell edges are 17.948, 9.712 and 3.561 Å and the angles 90.00°, 101.24° and 90.00°. The distinct sites, in fractional coordinates, are Ac at (0.000, 0.000, 0.000), La at (0.000, 0.341, 0.500), La at (0.174, 0.192, 0.674) and In at (0.152, 0.500, 0.150).

The energy of formation is -119 meV per atom.



A relaxed NaAcPmTe3 crystal, computed with PBE-GGA.

The structure belongs to space group P2_1/m (No. 11); the cell edges are 9.203, 4.544 and 10.161 Å and the angles 90.00°, 106.00° and 90.00°. The distinct sites, in fractional coordinates, are Na at (0.096, 0.250, 0.090), Ac at (0.201, 0.250, 0.733), Pm at (0.334, 0.750, 0.350), Te at (0.093, 0.250, 0.381), Te at (0.257, 0.750, 0.000) and Te at (0.440, 0.750, 0.673).

For the uncorrected formation energy, the calculation gives -7.65 eV per formula unit.



A relaxed PrTmZn crystal, computed with PBE-GGA.

The structure belongs to space group I4mm (No. 107); the cell edges are 3.623, 3.623 and 12.363 Å and the angles 90.00°, 90.00° and 90.00°. The distinct sites, in fractional coordinates, are Pr at (0.000, 0.000, 0.000), Tm at (0.000, 0.000, 0.288) and Zn at (0.000, 0.000, 0.661).

The energy of formation is -198 meV per atom. The value obtained for the relative energy among the computed polymorphs is 0 meV/atom.



A relaxed Pa2ZnIr crystal, computed with PBE-GGA.

The structure belongs to space group P4/mmm (No. 123); the cell edges are 3.664, 3.664 and 6.303 Å and the angles 90.00°, 90.00° and 90.00°. The distinct sites, in fractional coordinates, are Pa at (0.000, 0.000, 0.232), Zn at (0.500, 0.500, 0.500) and Ir at (0.500, 0.500, 0.000).

The energy of formation is -318 meV per atom. The value obtained for the relative energy among the computed polymorphs is 46 meV/atom.



A relaxed FeCu2Pb crystal, computed with PBE-GGA.

The structure belongs to space group I-4m2 (No. 119); the cell edges are 4.014, 4.014 and 7.664 Å and the angles 90.00°, 90.00° and 90.00°. The distinct sites, in fractional coordinates, are Fe at (0.000, 0.000, 0.000), Cu at (0.000, 0.000, 0.500), Cu at (0.000, 0.500, 0.250) and Pb at (0.000, 0.500, 0.750).

The energy of formation is 433 meV per atom.



A relaxed La5SmIn2 crystal, computed with PBE-GGA.

The structure belongs to space group Cmcm (No. 63); the cell edges are 5.326, 12.360 and 16.520 Å and the angles 90.00°, 90.00° and 90.00°. The distinct sites, in fractional coordinates, are La at (0.000, 0.035, 0.105), La at (0.000, 0.356, 0.026), La at (0.000, 0.464, 0.750), Sm at (0.000, 0.263, 0.250) and In at (0.000, 0.226, 0.648).

The energy of formation is -184 meV per atom. The value obtained for the relative energy among the computed polymorphs is 111 meV/atom.



A relaxed Zn2CrGeMo crystal, computed with PBE-GGA.

The structure belongs to space group P4/mmm (No. 123); the cell edges are 4.494, 4.494 and 4.504 Å and the angles 90.00°, 90.00° and 90.00°. The distinct sites, in fractional coordinates, are Zn at (0.000, 0.500, 0.000), Cr at (0.000, 0.000, 0.500), Ge at (0.000, 0.000, 0.000) and Mo at (0.500, 0.500, 0.500).

The energy of formation is 1340 meV per atom. The value obtained for the relative energy among the computed polymorphs is 197 meV/atom.



no.,density of states at the Fermi level (states/eV/atom)
1,1.440
2,1.489
3,0.554
4,1.230
5,1.568
6,1.168
7,1.164
8,1.629